## Pu2ZnGa6Pt (PBE)

Data for a relaxed structure of Pu2ZnGa6Pt.

Cell lengths 6.6869, 6.6462, 5.3328 Å; angles 66.26, 66.47, 69.25 degrees
Closest atoms and distances in Å follow each position.
Sites, in units of the cell vectors:
Ga: 0.6942 0.8225 0.9939  5 Ga 2.64-2.82, 1 Pt 2.71, 1 Zn 2.86
Ga: 0.0750 0.5696 0.1781  1 Zn 2.54, 1 Pt 2.55, 4 Ga 2.81-2.82
Ga: 0.9250 0.4304 0.8219  1 Zn 2.54, 1 Pt 2.55, 4 Ga 2.81-2.82
Ga: 0.6948 0.8229 0.4889  5 Ga 2.64-2.82, 1 Pt 2.71, 1 Zn 2.86
Ga: 0.3058 0.1775 0.0061  5 Ga 2.64-2.82, 1 Pt 2.71, 1 Zn 2.86
Ga: 0.3052 0.1771 0.5111  5 Ga 2.64-2.82, 1 Pt 2.71, 1 Zn 2.86
Zn: 0.5000 0.5000 0.0000  2 Ga 2.54
Pu: 0.7561 0.2637 0.4898  7 Ga 2.99-3.22, 2 Zn 3.25-3.26, 2 Pt 3.29
Pu: 0.2439 0.7363 0.5102  7 Ga 2.99-3.22, 2 Zn 3.25-3.26, 2 Pt 3.29
Pt: 0.0000 0.0000 0.0000  6 Ga 2.55-2.71

- symmetry = P-1
- ΔE_f (kJ/mol of formula units) = -304.5
- M_tot (μB per cell) = 11.19
- DOS(E_F) (states/eV/f.u.) = 21.72
- volume (Å³ per cell) = 193.54
- E (eV per formula unit) = -57.30

***

## Pu2ZnGaPt6 (PBE)

Data for a relaxed structure of Pu2ZnGaPt6.

Cell lengths 8.4952, 5.5451, 8.4964 Å; angles 70.97, 38.10, 90.01 degrees
Closest atoms and distances in Å follow each position.
Sites, in units of the cell vectors:
Pu: 0.1991 0.8014 0.3974  9 Pt 3.03-3.18, 3 Zn 3.29
Pu: 0.8009 0.1986 0.6026  9 Pt 3.03-3.18, 3 Zn 3.29
Pt: 0.2499 0.2522 0.9983  1 Ga 2.53, 1 Zn 2.54, 4 Pt 2.76-2.79
Pt: 0.2498 0.7491 0.9982  1 Ga 2.53, 1 Zn 2.54, 4 Pt 2.76-2.79
Pt: 0.7468 0.7491 0.5011  1 Ga 2.53, 1 Zn 2.54, 4 Pt 2.76-2.79
Pt: 0.7501 0.7478 0.0017  1 Ga 2.53, 1 Zn 2.54, 4 Pt 2.76-2.79
Pt: 0.2532 0.2509 0.4989  1 Ga 2.53, 1 Zn 2.54, 4 Pt 2.76-2.79
Pt: 0.7502 0.2509 0.0018  1 Ga 2.53, 1 Zn 2.54, 4 Pt 2.76-2.79
Zn: 0.5000 0.5000 0.0000  6 Pt 2.54
Ga: 0.0000 0.0000 0.0000  6 Pt 2.53

- symmetry = R-3m
- ΔE_f (kJ/mol of formula units) = -546.7
- M_tot (μB per cell) = 10.24
- DOS(E_F) (states/eV/f.u.) = 24.43
- volume (Å³ per cell) = 209.59
- E (eV per formula unit) = -74.88